Here is a relaxed structure of Ac2MnCu2S6 from Alexandria. Energies are from PBE.

Properties
The energy relative to the elements, uncorrected is -11.4 eV per formula unit.

abc: 6.871 6.871 7.024
angles: 60.72 60.72 60.00
Each line ends with the local moment (μB).
Positions (direct):
1 S 0.237 0.237 0.741  -0.02
2 S 0.215 0.763 0.259  -0.02
3 S 0.763 0.763 0.259  -0.02
4 S 0.763 0.215 0.259  -0.02
5 S 0.237 0.785 0.741  -0.02
6 S 0.785 0.237 0.741  -0.02
7 Cu 0.585 0.585 0.245  -0.01
8 Cu 0.415 0.415 0.755  -0.01
9 Mn 0.000 0.000 0.000  2.94
10 Ac 0.774 0.774 0.678  0.02
11 Ac 0.226 0.226 0.322  0.02


Here is a relaxed structure of SrTeBr2 from Alexandria. Energies are from PBE.

Properties
The energy relative to the elements, uncorrected is -4.0 eV per formula unit.

abc: 9.131 9.131 7.421
angles: 52.03 52.03 90.00
Each line ends with the local moment (μB).
Positions (direct):
1 Sr 0.250 0.750 0.500  0.00
2 Sr 0.500 0.500 0.000  0.00
3 Te 0.750 0.250 0.500  0.90
4 Te 0.000 0.000 0.000  0.90
5 Br 0.182 0.625 0.250  0.13
6 Br 0.375 0.432 0.750  0.11
7 Br 0.875 0.818 0.750  0.13
8 Br 0.568 0.125 0.250  0.11


Here is a relaxed structure of Pd2Pb5Au from Alexandria. Energies are from PBE.

Properties
The formation energy from the elements is -9.3 kJ/mol of atoms.

abc: 3.753 7.925 13.680
angles: 90.00 90.00 90.00
Positions (direct):
1 Pb 0.500 0.315 0.119
2 Pb 0.500 0.815 0.381
3 Pb 0.500 0.685 0.881
4 Pb 0.000 0.185 0.314
5 Pb 0.000 0.685 0.186
6 Pb 0.000 0.500 0.500
7 Pb 0.000 0.000 0.000
8 Pb 0.000 0.815 0.686
9 Pb 0.000 0.315 0.814
10 Pb 0.500 0.185 0.619
11 Pd 0.500 0.475 0.313
12 Pd 0.500 0.525 0.687
13 Pd 0.500 0.975 0.187
14 Pd 0.500 0.025 0.813
15 Au 0.000 0.000 0.500
16 Au 0.000 0.500 0.000


Here is a relaxed structure of Ba2CuOs from Alexandria. Energies are from PBE.

Properties
The formation energy from the elements is 110.7 kJ/mol of atoms.

abc: 6.842 6.842 9.050
angles: 67.79 67.79 90.00
Each line ends with the local moment (μB).
Positions (direct):
1 Ba 0.375 0.336 0.750  -0.01
2 Ba 0.875 0.914 0.750  -0.01
3 Ba 0.086 0.625 0.250  -0.01
4 Ba 0.664 0.125 0.250  -0.01
5 Cu 0.250 0.750 0.500  0.00
6 Cu 0.500 0.500 0.000  0.00
7 Os 0.000 0.000 0.000  1.05
8 Os 0.750 0.250 0.500  1.05


Here is a relaxed structure of LiMg2TaGa from Alexandria. Energies are from PBE.

Properties
The formation energy from the elements is 88.2 kJ/mol of atoms.

abc: 4.876 4.433 4.876
angles: 90.00 90.00 90.00
Each line ends with the local moment (μB).
Positions (direct):
1 Ta 0.500 0.500 0.500  0.72
2 Ga 0.000 0.000 0.000  -0.06
3 Li 0.000 0.500 0.000  -0.01
4 Mg 0.500 0.000 0.000  -0.01
5 Mg 0.000 0.000 0.500  -0.01


Here is a relaxed structure of YSc3P3 from Alexandria. Energies are from PBE.

Properties
The formation energy from the elements is -125.6 kJ/mol of atoms.

abc: 8.093 8.093 8.093
angles: 90.00 90.00 90.00
Positions (direct):
1 P 0.502 0.757 0.379
2 P 0.757 0.379 0.502
3 P 0.879 0.998 0.243
4 P 0.498 0.257 0.121
5 P 0.743 0.621 0.002
6 P 0.379 0.502 0.757
7 P 0.002 0.743 0.621
8 P 0.998 0.243 0.879
9 P 0.243 0.879 0.998
10 P 0.621 0.002 0.743
11 P 0.121 0.498 0.257
12 P 0.257 0.121 0.498
13 Sc 0.686 0.686 0.686
14 Sc 0.681 0.319 0.819
15 Sc 0.814 0.314 0.186
16 Sc 0.181 0.181 0.181
17 Sc 0.433 0.567 0.067
18 Sc 0.186 0.814 0.314
19 Sc 0.314 0.186 0.814
20 Sc 0.319 0.819 0.681
21 Sc 0.067 0.433 0.567
22 Sc 0.933 0.933 0.933
23 Sc 0.567 0.067 0.433
24 Sc 0.819 0.681 0.319
25 Y 0.567 0.933 0.067
26 Y 0.433 0.433 0.433
27 Y 0.933 0.067 0.567
28 Y 0.067 0.567 0.933


V per entry: 237.0 305.0 406.8 358.0 105.4 530.1 Å³ per cell
Fermi-level density of states per entry: 0.189 0.016 0.426 1.231 0.549 0.918 states/eV per atom